Below is a relaxed structure of Ta5Nb6, with properties calculated at the PBE level.

Formation enthalpy at 0 K, eV/atom: 0.23

Unit cell a=7.307 b=7.307 c=4.759 alpha=108.95 beta=108.95 gamma=104.96
Fractional coordinates of all 11 atoms:
Ta 0.000 0.000 0.000
Ta 0.140 0.860 0.500
Ta 0.287 0.713 0.000
Ta 0.713 0.287 0.000
Ta 0.860 0.140 0.500
Nb 0.155 0.441 0.298
Nb 0.307 0.307 0.806
Nb 0.441 0.155 0.298
Nb 0.559 0.845 0.702
Nb 0.693 0.693 0.194
Nb 0.845 0.559 0.702


Below is a relaxed structure of NdHoCuTc, with properties calculated at the PBE level.

Formation enthalpy at 0 K, eV/atom: -0.01

Unit cell a=4.939 b=4.939 c=4.939 alpha=60.00 beta=60.00 gamma=60.00
Fractional coordinates of all 4 atoms:
Nd 0.000 0.000 0.000
Ho 0.500 0.500 0.500
Cu 0.250 0.250 0.250
Tc 0.750 0.750 0.750


Below is a relaxed structure of In2CuAu, with properties calculated at the PBE level.

Formation enthalpy at 0 K, eV/atom: 0.10

Unit cell a=9.690 b=9.690 c=9.690 alpha=153.93 beta=153.93 gamma=37.20
Fractional coordinates of all 8 atoms:
In 0.112 0.625 0.987
In 0.375 0.362 0.487
In 0.638 0.125 0.013
In 0.875 0.888 0.513
Cu 0.000 0.000 0.000
Cu 0.750 0.250 0.500
Au 0.250 0.750 0.500
Au 0.500 0.500 0.000


Below is a relaxed structure of Al2PbBr, with properties calculated at the PBE level.

ΔE_f (raw), eV per atom: -0.083

Unit cell a=9.581 b=9.581 c=9.581 alpha=21.90 beta=21.90 gamma=21.90
Fractional coordinates of all 4 atoms:
Al 0.000 0.000 0.000
Al 0.273 0.273 0.273
Pb 0.530 0.530 0.530
Br 0.729 0.729 0.729